Record 1
VASP calculation (PBE) on KFe2Hg after structural relaxation.

Geometry as CIF:
```
data_KFe2Hg
_chemical_formula_sum 'K1 Fe2 Hg1'
_cell_length_a 5.408
_cell_length_b 2.813
_cell_length_c 5.580
_cell_angle_alpha 90.00
_cell_angle_beta 108.89
_cell_angle_gamma 90.00
_symmetry_space_group_name_H-M 'P 1 2/m 1'
_symmetry_Int_Tables_number 10
loop_
_symmetry_equiv_pos_as_xyz
'x,y,z'
'-x,-y,-z'
'-x,y,-z'
'x,-y,z'
loop_
_atom_site_label
_atom_site_type_symbol
_atom_site_fract_x
_atom_site_fract_y
_atom_site_fract_z
K1 K 0.000 0.000 0.000
Fe1 Fe 0.000 0.500 0.500
Fe2 Fe 0.500 0.000 0.500
Hg1 Hg 0.500 0.500 0.000
```

Results
As for the density of states at the Fermi level: 6.1 states/eV/cell. Its formation energy is 95.5 kJ/mol of atoms. For the energy, the calculation gives -0.264 Ry per atom.

---

Record 2
VASP calculation (PBE) on MgSc2 after structural relaxation.

Geometry as CIF:
```
data_MgSc2
_chemical_formula_sum 'Mg2 Sc4'
_cell_length_a 3.283
_cell_length_b 3.283
_cell_length_c 13.346
_cell_angle_alpha 90.00
_cell_angle_beta 90.00
_cell_angle_gamma 90.00
_symmetry_space_group_name_H-M 'I 4/m m m'
_symmetry_Int_Tables_number 139
_symmetry_space_group_name_Hall '-I 4 2'
loop_
_atom_site_label
_atom_site_type_symbol
_atom_site_fract_x
_atom_site_fract_y
_atom_site_fract_z
Mg1 Mg 0.000 0.000 0.000
Sc1 Sc 0.000 0.000 0.333
```

Results
As for the density of states at the Fermi level: 6.5 states/eV/cell. Its formation energy is -2.7 kJ/mol of atoms. For the energy, the calculation gives -0.351 Ry per atom.

---

Record 3
VASP calculation (PBE) on SbPSe after structural relaxation.

Geometry as CIF:
```
data_SbPSe
_chemical_formula_sum 'Sb2 P2 Se2'
_cell_length_a 4.311
_cell_length_b 5.905
_cell_length_c 6.344
_cell_angle_alpha 85.14
_cell_angle_beta 72.80
_cell_angle_gamma 89.17
_symmetry_space_group_name_H-M 'P 1'
_symmetry_Int_Tables_number 1
loop_
_symmetry_equiv_pos_as_xyz
'x,y,z'
loop_
_atom_site_label
_atom_site_type_symbol
_atom_site_fract_x
_atom_site_fract_y
_atom_site_fract_z
Sb1 Sb 0.000 0.000 0.000
Sb2 Sb 0.296 0.437 0.378
P1 P 0.790 0.548 0.772
P2 P 0.896 0.430 0.079
Se1 Se 0.339 0.909 0.301
Se2 Se 0.602 0.205 0.686
```

Results
The polymorph energy (0 for the lowest one) is 76 meV/atom. As for the density of states at the Fermi level: 1.4 states/eV/cell. For the energy, the calculation gives -0.314 Ry per atom. Its formation energy from raw total energies is 0.19 eV per formula unit.

---

Record 4
VASP calculation (PBE) on Rb2MgI6F after structural relaxation.

Geometry as CIF:
```
data_Rb2MgI6F
_chemical_formula_sum 'Rb4 Mg2 I12 F2'
_cell_length_a 7.776
_cell_length_b 7.776
_cell_length_c 13.221
_cell_angle_alpha 90.00
_cell_angle_beta 90.00
_cell_angle_gamma 90.00
_symmetry_space_group_name_H-M 'I 4/m m m'
_symmetry_Int_Tables_number 139
_symmetry_space_group_name_Hall '-I 4 2'
loop_
_atom_site_label
_atom_site_type_symbol
_atom_site_fract_x
_atom_site_fract_y
_atom_site_fract_z
Rb1 Rb 0.000 0.500 0.250
Mg1 Mg 0.000 0.000 0.000
I1 I 0.000 0.000 0.221
I2 I 0.237 0.237 0.500
F1 F 0.000 0.000 0.500
```

Results
As for the density of states at the Fermi level: 22.4 states/eV/cell. For the energy, the calculation gives -0.169 Ry per atom. Its formation energy from raw total energies is -8.23 eV per formula unit.

---

Record 5
VASP calculation (PBE) on YTaOs2 after structural relaxation.

Geometry as CIF:
```
data_YTaOs2
_chemical_formula_sum 'Y2 Ta2 Os4'
_cell_length_a 8.670
_cell_length_b 3.137
_cell_length_c 5.806
_cell_angle_alpha 90.00
_cell_angle_beta 102.68
_cell_angle_gamma 90.00
_symmetry_space_group_name_H-M 'C 1 2/m 1'
_symmetry_Int_Tables_number 12
loop_
_symmetry_equiv_pos_as_xyz
'x,y,z'
'-x,-y,-z'
'-x,y,-z'
'x,-y,z'
'x+1/2,y+1/2,z'
'-x+1/2,-y+1/2,-z'
'-x+1/2,y+1/2,-z'
'x+1/2,-y+1/2,z'
loop_
_atom_site_label
_atom_site_type_symbol
_atom_site_fract_x
_atom_site_fract_y
_atom_site_fract_z
Y1 Y 0.000 0.000 0.000
Ta1 Ta 0.000 0.500 0.500
Os1 Os 0.237 0.000 0.692
```

Results
As for the density of states at the Fermi level: 4.1 states/eV/cell. Its formation energy is 15.0 kJ/mol of atoms. For the energy, the calculation gives -0.738 Ry per atom.

---

Record 6
VASP calculation (PBE) on GdLu2Hg after structural relaxation.

Geometry as CIF:
```
data_GdLu2Hg
_chemical_formula_sum 'Gd1 Lu2 Hg1'
_cell_length_a 3.536
_cell_length_b 3.536
_cell_length_c 8.893
_cell_angle_alpha 90.00
_cell_angle_beta 90.00
_cell_angle_gamma 90.00
_symmetry_space_group_name_H-M 'P 4/m m m'
_symmetry_Int_Tables_number 123
_symmetry_space_group_name_Hall '-P 4 2'
loop_
_atom_site_label
_atom_site_type_symbol
_atom_site_fract_x
_atom_site_fract_y
_atom_site_fract_z
Gd1 Gd 0.000 0.000 0.000
Lu1 Lu 0.500 0.500 0.281
Hg1 Hg 0.000 0.000 0.500
```

Results
The polymorph energy (0 for the lowest one) is 0 meV/atom. As for the density of states at the Fermi level: 5.1 states/eV/cell. Its formation energy is -21.2 kJ/mol of atoms. For the energy, the calculation gives -0.447 Ry per atom.

---

Record 7
VASP calculation (PBE) on Rb4La3ThSe8 after structural relaxation.

Geometry as CIF:
```
data_Rb4La3ThSe8
_chemical_formula_sum 'Rb12 La9 Th3 Se24'
_cell_length_a 8.8547
_cell_length_b 8.8547
_cell_length_c 24.0572
_cell_angle_alpha 90.00
_cell_angle_beta 90.00
_cell_angle_gamma 120.00
_symmetry_space_group_name_H-M 'R -3 m'
_symmetry_Int_Tables_number 166
_symmetry_space_group_name_Hall '-R 3 2"'
loop_
_atom_site_label
_atom_site_type_symbol
_atom_site_fract_x
_atom_site_fract_y
_atom_site_fract_z
Rb1 Rb 0.0000 0.0000 0.0000
Rb2 Rb 0.0000 0.5000 0.0000
La1 La 0.0000 0.5000 0.5000
Th1 Th 0.0000 0.0000 0.5000
Se1 Se 0.0000 0.0000 0.2348
Se2 Se 0.0096 0.5048 0.2341
```

Results
As for the density of states at the Fermi level: 18.2 states/eV/cell. For the energy, the calculation gives -0.376 Ry per atom. Its formation energy from raw total energies is -27.80 eV per formula unit.

---

Record 8
VASP calculation (PBE) on NaLiHf2 after structural relaxation.

Geometry as CIF:
```
data_NaLiHf2
_chemical_formula_sum 'Na4 Li4 Hf8'
_cell_length_a 6.930
_cell_length_b 6.930
_cell_length_c 6.930
_cell_angle_alpha 90.00
_cell_angle_beta 90.00
_cell_angle_gamma 90.00
_symmetry_space_group_name_H-M 'F m -3 m'
_symmetry_Int_Tables_number 225
_symmetry_space_group_name_Hall '-F 4 2 3'
loop_
_atom_site_label
_atom_site_type_symbol
_atom_site_fract_x
_atom_site_fract_y
_atom_site_fract_z
Na1 Na 0.000 0.000 0.000
Li1 Li 0.000 0.000 0.500
Hf1 Hf 0.250 0.250 0.250
```

Results
The polymorph energy (0 for the lowest one) is 81 meV/atom. As for the density of states at the Fermi level: 16.9 states/eV/cell. Its formation energy is 77.3 kJ/mol of atoms. For the energy, the calculation gives -0.366 Ry per atom.